An optimized crystal structure of BiPdPb2O6. Source: Alexandria, functional GGA-PBE.

Lattice parameters (Å, degrees): 5.8172 6.0270 8.3704 90.00 89.86 90.00
With the nearest neighbours (Å) after each atom.
Positions (direct):
Pb  0.5112  0.5447  0.7506  4 O 2.39-2.57
Pb  0.4888  0.4553  0.2494  4 O 2.39-2.57
Pb  0.9888  0.0447  0.7494  4 O 2.39-2.57
Pb  0.0112  0.9553  0.2506  4 O 2.39-2.57
O  0.7874  0.8178  0.5536  1 Pd 2.05
O  0.1123  0.4536  0.7687  1 Pd 2.06
O  0.2874  0.6822  0.0536  1 Pd 2.05
O  0.7126  0.3178  0.9464  1 Pd 2.05
O  0.3877  0.9536  0.7313  1 Pd 2.06
O  0.6735  0.2880  0.5571  1 Pd 2.06
O  0.8877  0.5464  0.2313  1 Pd 2.06
O  0.6123  0.0464  0.2687  1 Pd 2.06
O  0.2126  0.1822  0.4464  1 Pd 2.05
O  0.3265  0.7120  0.4429  1 Pd 2.06
O  0.1735  0.2120  0.0571  1 Pd 2.06
O  0.8265  0.7880  0.9429  1 Pd 2.06
Bi  0.0000  0.5000  0.5000  6 O 2.32-2.36
Bi  0.5000  0.0000  0.0000  6 O 2.32-2.36
Pd  0.0000  0.5000  0.0000  6 O 2.05-2.06
Pd  0.5000  0.0000  0.5000  6 O 2.05-2.06

Properties
- M_tot: 0.0 μB per cell
- Space-group type: P2_1/c
- Formation energy from raw total energies: -0.82 eV/atom
- Electronic total energy: -5.4439 eV/atom